(1)
## SrRe2Mo (SCAN)

Data for SrRe2Mo at its PBEsol-relaxed geometry.

a = 2.626 Å, b = 5.581 Å, c = 5.581 Å
α = 121.59°, β = 90.00°, γ = 90.00°
Fractional positions:
Mo1 0.500 0.500 0.500
Re1 0.000 0.500 0.000
Re2 0.000 0.000 0.500
Sr1 0.500 0.000 0.000

Results
total magnetic moment: 0.00 μB per atom
polymorph energy (0 for the lowest one): 320 meV/atom

=====

(2)
## TaReMo2 (SCAN)

Data for TaReMo2 at its PBEsol-relaxed geometry.

a = 3.144 Å, b = 3.144 Å, c = 6.316 Å
α = 90.00°, β = 90.00°, γ = 90.00°
Fractional positions:
Re1 0.000 0.000 0.496
Mo1 0.000 0.000 0.006
Mo2 0.500 0.500 0.248
Ta1 0.500 0.500 0.749

Results
total magnetic moment: 0.00 μB per atom
polymorph energy (0 for the lowest one): 18 meV/atom

=====

(3)
## TaReMo2 (SCAN)

Data for TaReMo2 at its PBEsol-relaxed geometry.

a = 3.143 Å, b = 4.452 Å, c = 4.452 Å
α = 90.00°, β = 90.00°, γ = 90.00°
Fractional positions:
Re1 0.500 0.500 0.500
Mo1 0.000 0.000 0.500
Mo2 0.000 0.500 0.000
Ta1 0.500 0.000 0.000

Results
total magnetic moment: 0.00 μB per atom
polymorph energy (0 for the lowest one): 56 meV/atom

=====

no.,electronic total energy (eV per atom),mass density (g/cm3),energy of formation from the pure elements (eV per atom)
1,-48.6185,13.2,1.220
2,-52.0718,14.9,-0.209
3,-52.0341,14.9,-0.171